Record 1
## Rb2Li2PuSe4 (PBE)

Data for crystalline Rb2Li2PuSe4 at its relaxed geometry.

Lattice parameters (Å, degrees): 4.321 7.997 8.074 108.69 105.52 90.00
Last column: magnetic moment on the atom in μB.
Sites, in units of the cell vectors:
Se1 0.516 0.776 0.032  -0.14
Se2 0.484 0.224 0.968  -0.14
Se3 0.193 0.164 0.386  -0.10
Se4 0.807 0.836 0.614  -0.10
Rb1 0.862 0.436 0.724  0.00
Rb2 0.138 0.564 0.276  0.00
Li1 0.681 0.990 0.362  0.00
Li2 0.319 0.010 0.638  0.00
Pu1 0.000 0.000 0.000  4.69

Output
Total magnetization ... 4.000 μB/f.u.
Space group ... No. 12
D(E_F) ... 1.254 states/eV/atom
E_form (uncorrected) ... -1.29 eV per atom



Record 2
## Rb3LiPu2Se6 (PBE)

Data for crystalline Rb3LiPu2Se6 at its relaxed geometry.

Lattice parameters (Å, degrees): 7.377 7.377 8.255 98.49 98.49 120.05
Last column: magnetic moment on the atom in μB.
Sites, in units of the cell vectors:
Li1 0.000 0.000 0.000  0.00
Rb1 0.840 0.160 0.500  0.01
Rb2 0.160 0.840 0.500  0.01
Rb3 0.500 0.500 0.500  0.01
Se1 0.064 0.412 0.192  0.17
Se2 0.717 0.717 0.188  0.16
Se3 0.283 0.283 0.812  0.16
Se4 0.412 0.064 0.192  0.17
Se5 0.936 0.588 0.808  0.17
Se6 0.588 0.936 0.808  0.17
Pu1 0.667 0.333 0.000  -4.70
Pu2 0.333 0.667 0.000  -4.70

Output
Total magnetization ... 8.000 μB/f.u.
Space group ... No. 12
D(E_F) ... 1.311 states/eV/atom
E_form (uncorrected) ... -1.28 eV per atom



Please write out number 2 again, unchanged.
## Rb3LiPu2Se6 (PBE)

Data for crystalline Rb3LiPu2Se6 at its relaxed geometry.

Lattice parameters (Å, degrees): 7.377 7.377 8.255 98.49 98.49 120.05
Last column: magnetic moment on the atom in μB.
Sites, in units of the cell vectors:
Li1 0.000 0.000 0.000  0.00
Rb1 0.840 0.160 0.500  0.01
Rb2 0.160 0.840 0.500  0.01
Rb3 0.500 0.500 0.500  0.01
Se1 0.064 0.412 0.192  0.17
Se2 0.717 0.717 0.188  0.16
Se3 0.283 0.283 0.812  0.16
Se4 0.412 0.064 0.192  0.17
Se5 0.936 0.588 0.808  0.17
Se6 0.588 0.936 0.808  0.17
Pu1 0.667 0.333 0.000  -4.70
Pu2 0.333 0.667 0.000  -4.70

Output
Total magnetization ... 8.000 μB/f.u.
Space group ... No. 12
D(E_F) ... 1.311 states/eV/atom
E_form (uncorrected) ... -1.28 eV per atom



Number 2 is which compound?
Rb3LiPu2Se6



The highest total magnetization belongs to which entry?
Rb3LiPu2Se6



Among the records above, which one has the lowest E_form (uncorrected)?
Rb2Li2PuSe4